(1)
## AcPaAl (PBE)

Data for a relaxed structure of AcPaAl.

```
AcPaAl
1.0
-4.3838 -0.9265 -2.5398
-4.4389 1.9629 1.7234
-2.3206 3.7922 -2.6002
Al Pa Ac
1 1 1
direct
0.0000 0.0000 0.0000 Al
0.7500 0.7500 0.7500 Pa
0.2500 0.2500 0.2500 Ac
```

The size of the total moment comes out at 0.2133 μB per atom. For the polymorph energy (0 for the lowest one), the calculation gives 115 meV per atom.


(2)
## Tb2ZrCu4Si4 (PBE)

Data for a relaxed structure of Tb2ZrCu4Si4.

```
Tb2ZrCu4Si4
1.0
-2.4590 -4.8475 5.5241
-7.5362 -1.5962 0.8479
6.3803 -0.1209 -4.3976
Tb Cu Si Zr
2 4 4 1
direct
0.6292 0.1292 0.5000 Tb
0.3708 0.8708 0.5000 Tb
0.9781 0.6684 0.3097 Cu
0.0219 0.3316 0.6903 Cu
0.3587 0.6684 0.6903 Cu
0.6413 0.3316 0.3097 Cu
0.3050 0.5000 0.8050 Si
0.2123 0.2123 0.0000 Si
0.7877 0.7877 0.0000 Si
0.6950 0.5000 0.1950 Si
0.0000 0.0000 0.0000 Zr
```

The size of the total moment comes out at 0.0002 μB per atom. The electronic total energy comes out at -5.55 eV per atom.